1.
# PBE-GGA CdFeRu2, optimized geometry
data_CdFeRu2
_cell_length_a 3.053
_cell_length_b 4.469
_cell_length_c 8.801
_cell_angle_alpha 90.00
_cell_angle_beta 90.00
_cell_angle_gamma 90.00
_space_group_name_H-M_alt 'I m m 2'
_space_group_IT_number 44
loop_
_space_group_symop_operation_xyz
'x,y,z'
'-x,-y,z'
'-x,y,z'
'x,-y,z'
'x+1/2,y+1/2,z+1/2'
'-x+1/2,-y+1/2,z+1/2'
'-x+1/2,y+1/2,z+1/2'
'x+1/2,-y+1/2,z+1/2'
loop_
_atom_site_label
_atom_site_type_symbol
_atom_site_fract_x
_atom_site_fract_y
_atom_site_fract_z
Cd1 Cd 0.000 0.000 0.000
Fe1 Fe 0.000 0.500 0.756
Ru1 Ru 0.000 0.000 0.483
Ru2 Ru 0.000 0.500 0.230
# DOS at the Fermi energy = 9.0 states/eV per cell
# ρ = 10.24 g cm⁻³


2.
# PBE-GGA CdFeRu2, optimized geometry
data_CdFeRu2
_cell_length_a 2.974
_cell_length_b 2.974
_cell_length_c 6.789
_cell_angle_alpha 90.00
_cell_angle_beta 90.00
_cell_angle_gamma 90.00
_space_group_name_H-M_alt 'P 4/m m m'
_space_group_IT_number 123
_space_group_name_Hall '-P 4 2'
loop_
_atom_site_label
_atom_site_type_symbol
_atom_site_fract_x
_atom_site_fract_y
_atom_site_fract_z
Cd1 Cd 0.000 0.000 0.000
Fe1 Fe 0.000 0.000 0.500
Ru1 Ru 0.500 0.500 0.296
# DOS at the Fermi energy = 4.0 states/eV per cell
# ρ = 10.25 g cm⁻³


3.
# PBE-GGA CdFeRu3, optimized geometry
data_CdFeRu3
_cell_length_a 4.430
_cell_length_b 4.430
_cell_length_c 4.430
_cell_angle_alpha 90.00
_cell_angle_beta 90.00
_cell_angle_gamma 90.00
_space_group_name_H-M_alt 'P m -3 m'
_space_group_IT_number 221
_space_group_name_Hall '-P 4 2 3'
loop_
_atom_site_label
_atom_site_type_symbol
_atom_site_fract_x
_atom_site_fract_y
_atom_site_fract_z
Cd1 Cd 0.000 0.000 0.000
Fe1 Fe 0.500 0.500 0.500
Ru1 Ru 0.000 0.500 0.500
# ΔE to the lowest computed polymorph = 0.0000 eV per atom
# DOS at the Fermi energy = 6.7 states/eV per cell
# ρ = 9.00 g cm⁻³


4.
# PBE-GGA Cd2FeRu, optimized geometry
data_Cd2FeRu
_cell_length_a 2.966
_cell_length_b 2.970
_cell_length_c 7.620
_cell_angle_alpha 90.00
_cell_angle_beta 90.07
_cell_angle_gamma 90.00
_space_group_name_H-M_alt 'P 1 m 1'
_space_group_IT_number 6
loop_
_space_group_symop_operation_xyz
'x,y,z'
'x,-y,z'
loop_
_atom_site_label
_atom_site_type_symbol
_atom_site_fract_x
_atom_site_fract_y
_atom_site_fract_z
Cd1 Cd 0.000 0.000 0.000
Cd2 Cd 0.499 0.500 0.316
Fe1 Fe 0.499 0.500 0.752
Ru1 Ru 0.999 0.000 0.581
# ΔE to the lowest computed polymorph = 0.0000 eV per atom
# DOS at the Fermi energy = 2.5 states/eV per cell
# ρ = 9.44 g cm⁻³


5.
# PBE-GGA CdFeRu2, optimized geometry
data_CdFeRu2
_cell_length_a 2.796
_cell_length_b 3.793
_cell_length_c 5.700
_cell_angle_alpha 90.00
_cell_angle_beta 90.00
_cell_angle_gamma 90.00
_space_group_name_H-M_alt 'P m m 2'
_space_group_IT_number 25
loop_
_space_group_symop_operation_xyz
'x,y,z'
'-x,-y,z'
'-x,y,z'
'x,-y,z'
loop_
_atom_site_label
_atom_site_type_symbol
_atom_site_fract_x
_atom_site_fract_y
_atom_site_fract_z
Cd1 Cd 0.000 0.000 0.000
Fe1 Fe 0.500 0.500 0.270
Ru1 Ru 0.000 0.000 0.499
Ru2 Ru 0.500 0.500 0.703
# DOS at the Fermi energy = 4.2 states/eV per cell
# ρ = 10.17 g cm⁻³


6.
# PBE-GGA CdFeRu2, optimized geometry
data_CdFeRu2
_cell_length_a 2.830
_cell_length_b 4.563
_cell_length_c 9.267
_cell_angle_alpha 90.00
_cell_angle_beta 90.00
_cell_angle_gamma 90.00
_space_group_name_H-M_alt 'I m m m'
_space_group_IT_number 71
_space_group_name_Hall '-I 2 2'
loop_
_atom_site_label
_atom_site_type_symbol
_atom_site_fract_x
_atom_site_fract_y
_atom_site_fract_z
Cd1 Cd 0.000 0.000 0.000
Fe1 Fe 0.000 0.000 0.500
Ru1 Ru 0.000 0.500 0.220
# DOS at the Fermi energy = 7.2 states/eV per cell
# ρ = 10.28 g cm⁻³


7.
# PBE-GGA Cd2FeRu, optimized geometry
data_Cd2FeRu
_cell_length_a 3.126
_cell_length_b 4.689
_cell_length_c 9.257
_cell_angle_alpha 90.00
_cell_angle_beta 90.00
_cell_angle_gamma 90.00
_space_group_name_H-M_alt 'I m m 2'
_space_group_IT_number 44
loop_
_space_group_symop_operation_xyz
'x,y,z'
'-x,-y,z'
'-x,y,z'
'x,-y,z'
'x+1/2,y+1/2,z+1/2'
'-x+1/2,-y+1/2,z+1/2'
'-x+1/2,y+1/2,z+1/2'
'x+1/2,-y+1/2,z+1/2'
loop_
_atom_site_label
_atom_site_type_symbol
_atom_site_fract_x
_atom_site_fract_y
_atom_site_fract_z
Cd1 Cd 0.000 0.000 0.000
Cd2 Cd 0.000 0.500 0.224
Fe1 Fe 0.000 0.500 0.759
Ru1 Ru 0.000 0.000 0.458
# ΔE to the lowest computed polymorph = 0.1263 eV per atom
# DOS at the Fermi energy = 5.9 states/eV per cell
# ρ = 9.34 g cm⁻³


8.
# PBE-GGA CdFe3Ru, optimized geometry
data_CdFe3Ru
_cell_length_a 4.595
_cell_length_b 4.595
_cell_length_c 4.595
_cell_angle_alpha 90.00
_cell_angle_beta 90.00
_cell_angle_gamma 90.00
_space_group_name_H-M_alt 'P m -3 m'
_space_group_IT_number 221
_space_group_name_Hall '-P 4 2 3'
loop_
_atom_site_label
_atom_site_type_symbol
_atom_site_fract_x
_atom_site_fract_y
_atom_site_fract_z
Cd1 Cd 0.000 0.000 0.000
Fe1 Fe 0.000 0.500 0.500
Ru1 Ru 0.500 0.500 0.500
# ΔE to the lowest computed polymorph = 0.0000 eV per atom
# DOS at the Fermi energy = 10.9 states/eV per cell
# ρ = 6.52 g cm⁻³


9.
# PBE-GGA CdFeRu2, optimized geometry
data_CdFeRu2
_cell_length_a 6.231
_cell_length_b 6.231
_cell_length_c 6.231
_cell_angle_alpha 90.00
_cell_angle_beta 90.00
_cell_angle_gamma 90.00
_space_group_name_H-M_alt 'F -4 3 m'
_space_group_IT_number 216
_space_group_name_Hall 'F -4 2 3'
loop_
_atom_site_label
_atom_site_type_symbol
_atom_site_fract_x
_atom_site_fract_y
_atom_site_fract_z
Cd1 Cd 0.000 0.000 0.000
Fe1 Fe 0.250 0.250 0.750
Ru1 Ru 0.000 0.000 0.500
Ru2 Ru 0.250 0.250 0.250
# DOS at the Fermi energy = 24.4 states/eV per cell
# ρ = 10.17 g cm⁻³


10.
# PBE-GGA CdFe2Ru, optimized geometry
data_CdFe2Ru
_cell_length_a 3.954
_cell_length_b 3.954
_cell_length_c 3.725
_cell_angle_alpha 90.00
_cell_angle_beta 90.00
_cell_angle_gamma 90.00
_space_group_name_H-M_alt 'P 4/m m m'
_space_group_IT_number 123
_space_group_name_Hall '-P 4 2'
loop_
_atom_site_label
_atom_site_type_symbol
_atom_site_fract_x
_atom_site_fract_y
_atom_site_fract_z
Cd1 Cd 0.000 0.000 0.000
Fe1 Fe 0.000 0.500 0.500
Ru1 Ru 0.500 0.500 0.000
# DOS at the Fermi energy = 3.9 states/eV per cell
# ρ = 9.27 g cm⁻³


11.
# PBE-GGA CdFe2Ru, optimized geometry
data_CdFe2Ru
_cell_length_a 6.967
_cell_length_b 6.967
_cell_length_c 5.345
_cell_angle_alpha 90.00
_cell_angle_beta 90.00
_cell_angle_gamma 90.00
_space_group_name_H-M_alt 'I -4 2 d'
_space_group_IT_number 122
_space_group_name_Hall 'I -4 2bw'
loop_
_atom_site_label
_atom_site_type_symbol
_atom_site_fract_x
_atom_site_fract_y
_atom_site_fract_z
Cd1 Cd 0.000 0.000 0.000
Fe1 Fe 0.218 0.250 0.625
Ru1 Ru 0.000 0.000 0.500
# DOS at the Fermi energy = 16.9 states/eV per cell
# ρ = 8.32 g cm⁻³


12.
# PBE-GGA Cd2FeRu, optimized geometry
data_Cd2FeRu
_cell_length_a 5.618
_cell_length_b 8.367
_cell_length_c 2.850
_cell_angle_alpha 90.00
_cell_angle_beta 90.73
_cell_angle_gamma 90.00
_space_group_name_H-M_alt 'C 1 2/m 1'
_space_group_IT_number 12
loop_
_space_group_symop_operation_xyz
'x,y,z'
'-x,-y,-z'
'-x,y,-z'
'x,-y,z'
'x+1/2,y+1/2,z'
'-x+1/2,-y+1/2,-z'
'-x+1/2,y+1/2,-z'
'x+1/2,-y+1/2,z'
loop_
_atom_site_label
_atom_site_type_symbol
_atom_site_fract_x
_atom_site_fract_y
_atom_site_fract_z
Cd1 Cd 0.250 0.250 0.000
Fe1 Fe 0.000 0.000 0.500
Ru1 Ru 0.000 0.500 0.500
# ΔE to the lowest computed polymorph = 0.2072 eV per atom
# DOS at the Fermi energy = 5.0 states/eV per cell
# ρ = 9.46 g cm⁻³


13.
# PBE-GGA CdFe2Ru, optimized geometry
data_CdFe2Ru
_cell_length_a 8.884
_cell_length_b 2.809
_cell_length_c 4.812
_cell_angle_alpha 90.00
_cell_angle_beta 101.15
_cell_angle_gamma 90.00
_space_group_name_H-M_alt 'C 1 2/m 1'
_space_group_IT_number 12
loop_
_space_group_symop_operation_xyz
'x,y,z'
'-x,-y,-z'
'-x,y,-z'
'x,-y,z'
'x+1/2,y+1/2,z'
'-x+1/2,-y+1/2,-z'
'-x+1/2,y+1/2,-z'
'x+1/2,-y+1/2,z'
loop_
_atom_site_label
_atom_site_type_symbol
_atom_site_fract_x
_atom_site_fract_y
_atom_site_fract_z
Cd1 Cd 0.000 0.000 0.000
Fe1 Fe 0.242 0.000 0.714
Ru1 Ru 0.000 0.500 0.500
# DOS at the Fermi energy = 11.5 states/eV per cell
# ρ = 9.17 g cm⁻³


14.
# PBE-GGA CdFeRu2, optimized geometry
data_CdFeRu2
_cell_length_a 2.870
_cell_length_b 4.623
_cell_length_c 9.201
_cell_angle_alpha 90.00
_cell_angle_beta 90.00
_cell_angle_gamma 90.00
_space_group_name_H-M_alt 'C m m 2'
_space_group_IT_number 35
loop_
_space_group_symop_operation_xyz
'x,y,z'
'-x,-y,z'
'-x,y,z'
'x,-y,z'
'x+1/2,y+1/2,z'
'-x+1/2,-y+1/2,z'
'-x+1/2,y+1/2,z'
'x+1/2,-y+1/2,z'
loop_
_atom_site_label
_atom_site_type_symbol
_atom_site_fract_x
_atom_site_fract_y
_atom_site_fract_z
Cd1 Cd 0.000 0.000 0.000
Fe1 Fe 0.000 0.500 0.737
Ru1 Ru 0.000 0.000 0.511
Ru2 Ru 0.000 0.500 0.272
# DOS at the Fermi energy = 10.1 states/eV per cell
# ρ = 10.08 g cm⁻³


15.
# PBE-GGA CdFeRu2, optimized geometry
data_CdFeRu2
_cell_length_a 9.077
_cell_length_b 2.785
_cell_length_c 4.838
_cell_angle_alpha 90.00
_cell_angle_beta 99.97
_cell_angle_gamma 90.00
_space_group_name_H-M_alt 'C 1 m 1'
_space_group_IT_number 8
loop_
_space_group_symop_operation_xyz
'x,y,z'
'x,-y,z'
'x+1/2,y+1/2,z'
'x+1/2,-y+1/2,z'
loop_
_atom_site_label
_atom_site_type_symbol
_atom_site_fract_x
_atom_site_fract_y
_atom_site_fract_z
Cd1 Cd 0.000 0.000 0.000
Fe1 Fe 0.243 0.000 0.745
Ru1 Ru 0.259 0.500 0.308
Ru2 Ru 0.499 0.000 0.499
# DOS at the Fermi energy = 8.6 states/eV per cell
# ρ = 10.21 g cm⁻³


Number 1: ΔH_f (0 K) 414 meV/atom, total energy -6.568 eV/atom. Number 2: ΔH_f (0 K) 260 meV/atom, total energy -6.722 eV/atom. Number 3: ΔH_f (0 K) 1176 meV/atom, total energy -6.265 eV/atom. Number 4: ΔH_f (0 K) 183 meV/atom, total energy -4.709 eV/atom. Number 5: ΔH_f (0 K) 284 meV/atom, total energy -6.699 eV/atom. Number 6: ΔH_f (0 K) 328 meV/atom, total energy -6.655 eV/atom. Number 7: ΔH_f (0 K) 310 meV/atom, total energy -4.583 eV/atom. Number 8: ΔH_f (0 K) 1234 meV/atom, total energy -5.882 eV/atom. Number 9: ΔH_f (0 K) 499 meV/atom, total energy -6.484 eV/atom. Number 10: ΔH_f (0 K) 343 meV/atom, total energy -6.436 eV/atom. Number 11: ΔH_f (0 K) 726 meV/atom, total energy -6.053 eV/atom. Number 12: ΔH_f (0 K) 390 meV/atom, total energy -4.502 eV/atom. Number 13: ΔH_f (0 K) 388 meV/atom, total energy -6.391 eV/atom. Number 14: ΔH_f (0 K) 450 meV/atom, total energy -6.532 eV/atom. Number 15: ΔH_f (0 K) 348 meV/atom, total energy -6.634 eV/atom.